Computed, not measured: crystalline ReSiAu2 at its relaxed geometry at the PBE level of DFT.

a b c (Å): 5.7865 5.7865 2.8152
angles (deg): 103.99 103.99 124.80
Positions (direct):
1 Re 0.0000 0.0000 0.0000
2 Si 0.5000 0.5000 0.0000
3 Au 0.0000 0.5000 0.0000
4 Au 0.5000 0.0000 0.0000

* formation energy (no corrections): 403.9 meV per atom
* V: 66.02 Å³/cell
* Fermi-level density of states: 2.3 states/eV per cell